# 1
Here is a geometry-optimized ThPaRePd structure from the Alexandria database. Energies are from PBE.

Values from the calculation:
Its total energy is -8.81 eV per atom. The crystal system is cubic. The calculation puts the density of states at the Fermi level at 1.6249 states/eV per atom. Its symmetry is F-43m, No. 216.

Cell: 5.004 5.004 5.004 Å, 60.00 60.00 60.00°
Fractional coordinates of all 4 atoms:
Th 0.000 0.000 0.000
Pa 0.500 0.500 0.500
Re 0.250 0.250 0.250
Pd 0.750 0.750 0.750



# 2
Here is a geometry-optimized AcPr2NdHo5 structure from the Alexandria database. Energies are from PBE.

Values from the calculation:
Its total energy is -4.35 eV per atom. The crystal system is tetragonal. The calculation puts the density of states at the Fermi level at 1.0443 states/eV per atom. Its symmetry is I4/mcm, No. 140.

Cell: 10.083 10.083 10.083 Å, 128.07 128.07 76.51°
Fractional coordinates of all 18 atoms:
Ac 0.250 0.250 0.000
Ac 0.750 0.750 0.000
Pr 0.118 0.618 0.736
Pr 0.382 0.118 0.500
Pr 0.618 0.882 0.500
Pr 0.882 0.382 0.264
Nd 0.250 0.750 0.500
Nd 0.750 0.250 0.500
Ho 0.000 0.000 0.000
Ho 0.073 0.159 0.500
Ho 0.159 0.659 0.086
Ho 0.341 0.427 0.500
Ho 0.427 0.927 0.086
Ho 0.500 0.500 0.000
Ho 0.573 0.073 0.914
Ho 0.659 0.573 0.500
Ho 0.841 0.341 0.914
Ho 0.927 0.841 0.500



# 3
Here is a geometry-optimized RbGaP2Se8 structure from the Alexandria database. Energies are from PBE.

Values from the calculation:
The crystal system is trigonal. The calculation puts the density of states at the Fermi level at 0.7851 states/eV per atom. Its symmetry is R-3, No. 148. The value obtained for the formation energy (no corrections) is -192 meV/atom.

Cell: 12.035 12.035 12.035 Å, 28.63 28.63 28.63°
Fractional coordinates of all 12 atoms:
Rb 0.000 0.000 0.000
Ga 0.500 0.500 0.500
P 0.238 0.238 0.238
P 0.762 0.762 0.762
Se 0.136 0.409 0.806
Se 0.194 0.864 0.591
Se 0.300 0.300 0.300
Se 0.409 0.806 0.136
Se 0.591 0.194 0.864
Se 0.700 0.700 0.700
Se 0.806 0.136 0.409
Se 0.864 0.591 0.194



# 4
Here is a geometry-optimized Ba3Zn2Cd3 structure from the Alexandria database. Energies are from PBE.

Values from the calculation:
Its total energy is -1.64 eV per atom. The crystal system is orthorhombic. The calculation puts the density of states at the Fermi level at 0.8259 states/eV per atom. Its symmetry is Cmcm, No. 63.

Cell: 6.535 6.535 16.891 Å, 90.00 90.00 133.69°
Fractional coordinates of all 16 atoms:
Ba 0.098 0.902 0.602
Ba 0.098 0.902 0.898
Ba 0.391 0.609 0.750
Ba 0.609 0.391 0.250
Ba 0.902 0.098 0.102
Ba 0.902 0.098 0.398
Zn 0.202 0.798 0.096
Zn 0.202 0.798 0.404
Zn 0.798 0.202 0.596
Zn 0.798 0.202 0.904
Cd 0.311 0.689 0.250
Cd 0.380 0.620 0.539
Cd 0.380 0.620 0.961
Cd 0.620 0.380 0.039
Cd 0.620 0.380 0.461
Cd 0.689 0.311 0.750



# 5
Here is a geometry-optimized Na4I2Cl structure from the Alexandria database. Energies are from PBE.

Values from the calculation:
The crystal system is tetragonal. The calculation puts the density of states at the Fermi level at 0.2275 states/eV per atom. Its symmetry is I4/mmm, No. 139. The value obtained for the formation energy (no corrections) is -1068 meV/atom.

Cell: 9.275 9.275 9.275 Å, 146.15 146.15 48.63°
Fractional coordinates of all 7 atoms:
Na 0.000 0.500 0.500
Na 0.182 0.182 0.000
Na 0.500 0.000 0.500
Na 0.818 0.818 0.000
I 0.375 0.375 0.000
I 0.625 0.625 0.000
Cl 0.000 0.000 0.000



# 6
Here is a geometry-optimized Y2TmLu structure from the Alexandria database. Energies are from PBE.

Values from the calculation:
The crystal system is tetragonal. The calculation puts the density of states at the Fermi level at 1.5386 states/eV per atom. Its symmetry is P4/mmm, No. 123. The energy above the lowest structure with this stoichiometry comes out at 0.00 eV/f.u.

Cell: 4.988 4.988 4.976 Å, 90.00 90.00 90.00°
Fractional coordinates of all 4 atoms:
Y 0.000 0.500 0.000
Y 0.500 0.000 0.000
Tm 0.000 0.000 0.500
Lu 0.500 0.500 0.500